# BaPtSeBr2 (PBE, relaxed)
data_BaPtSeBr2
_chemical_formula_sum 'Ba1 Pt1 Se1 Br2'
_cell_length_a 6.159
_cell_length_b 6.159
_cell_length_c 6.577
_cell_angle_alpha 90.00
_cell_angle_beta 90.00
_cell_angle_gamma 90.00
_space_group_name_H-M_alt 'P 4/m m m'
_space_group_IT_number 123
_space_group_name_Hall '-P 4 2'
loop_
_atom_site_label
_atom_site_type_symbol
_atom_site_fract_x
_atom_site_fract_y
_atom_site_fract_z
Ba1 Ba 0.000 0.000 0.000
Pt1 Pt 0.500 0.500 0.500
Se1 Se 0.000 0.000 0.500
Br1 Br 0.000 0.500 0.000
# - Uncorrected formation energy: 0.247 eV per atom
# - Energy relative to the lowest polymorph listed for this composition: 6.10 eV per formula unit